[1]
! SnHg2Sb2Pb4, relaxed, DFT PBE; values from VASP
&SYSTEM
  ibrav = 0, nat = 9, ntyp = 4
/
ATOMIC_SPECIES
Hg 200.59 Hg.upf
Sb 121.76 Sb.upf
Pb 207.20 Pb.upf
Sn 118.71 Sn.upf
ATOMIC_POSITIONS crystal
Hg 0.3481 0.6626 0.6626
Sb 0.8189 0.8232 0.8232
Pb 0.1662 0.1679 0.6410
Pb 0.8338 0.3590 0.8321
Sn 0.5000 0.0000 0.0000
Pb 0.8338 0.8321 0.3590
Sb 0.1811 0.1768 0.1768
Pb 0.1662 0.6410 0.1679
Hg 0.6519 0.3374 0.3374
CELL_PARAMETERS angstrom
-2.4470 1.1039 -6.1971
2.1307 -6.4378 -1.2981
-4.6280 -4.8495 1.6536
! N(E_F)	2.10	states/eV/f.u.
! formation energy (no corrections)	0.064	eV per atom
! calculated volume	32.5	Å³ per atom
! magnetic moment	0.0	μB per formula unit
! total energy	-3.01	eV per atom



[2]
! Mg4TlRh, relaxed, DFT PBE; values from VASP
&SYSTEM
  ibrav = 0, nat = 6, ntyp = 3
/
ATOMIC_SPECIES
Mg 24.30 Mg.upf
Tl 204.38 Tl.upf
Rh 102.91 Rh.upf
ATOMIC_POSITIONS crystal
Mg 0.0014 0.4972 0.2947
Tl 0.5011 0.4976 0.9981
Mg 0.5013 0.9971 0.2946
Mg 0.5013 0.9973 0.7017
Rh 0.0013 0.9973 0.4981
Mg 0.0013 0.4973 0.7016
CELL_PARAMETERS angstrom
4.4120 0.0000 -0.0019
-0.0002 4.4146 -0.0021
0.0024 0.0050 7.3533
! distance to the lowest polymorph of the same formula	95	meV per atom
! N(E_F)	2.44	states/eV/f.u.
! calculated volume	23.9	Å³ per atom
! magnetic moment	0.0	μB per formula unit
! total energy	-2.80	eV per atom



[3]
! CrSiH, relaxed, DFT PBE; values from VASP
&SYSTEM
  ibrav = 0, nat = 6, ntyp = 3
/
ATOMIC_SPECIES
Si 28.09 Si.upf
Cr 52.00 Cr.upf
H 1.01 H.upf
ATOMIC_POSITIONS crystal
Si 0.5000 0.0000 0.5701
Cr 0.0000 0.5000 0.7144
Si 0.5000 0.5000 0.0701
H 0.5000 0.5000 0.5445
Cr 0.0000 0.0000 0.2144
H 0.5000 0.0000 0.0445
CELL_PARAMETERS angstrom
-0.8346 -1.6793 2.2624
-2.2688 -1.8047 -2.1765
3.9251 -3.5252 -1.1686
! distance to the lowest polymorph of the same formula	272	meV per atom
! N(E_F)	1.56	states/eV/f.u.
! calculated volume	9.6	Å³ per atom
! magnetic moment	0.6	μB per formula unit
! total energy	-5.93	eV per atom



[4]
! TlRu3, relaxed, DFT PBE; values from VASP
&SYSTEM
  ibrav = 0, nat = 4, ntyp = 2
/
ATOMIC_SPECIES
Tl 204.38 Tl.upf
Ru 101.07 Ru.upf
ATOMIC_POSITIONS crystal
Tl 0.0000 0.0000 0.0000
Ru 0.5000 0.0000 0.5000
Ru 0.5000 0.5000 0.0000
Ru 0.0000 0.5000 0.5000
CELL_PARAMETERS angstrom
3.9881 0.0000 0.0000
0.0000 3.9881 0.0000
0.0000 0.0000 3.9881
! distance to the lowest polymorph of the same formula	228	meV per atom
! N(E_F)	7.09	states/eV/f.u.
! calculated volume	15.9	Å³ per atom
! magnetic moment	0.0	μB per formula unit
! total energy	-6.87	eV per atom



[5]
! Ba2PrPuS5, relaxed, DFT PBE; values from VASP
&SYSTEM
  ibrav = 0, nat = 9, ntyp = 4
/
ATOMIC_SPECIES
S 32.06 S.upf
Pu 244.00 Pu.upf
Ba 137.33 Ba.upf
Pr 140.91 Pr.upf
ATOMIC_POSITIONS crystal
S 0.0000 0.0000 0.2462
Pu 0.0000 0.0000 0.5000
S 0.5000 0.0000 0.5000
Ba 0.5000 0.5000 0.7090
S 0.0000 0.5000 0.5000
S 0.0000 0.0000 0.7538
S 0.5000 0.5000 0.0000
Pr 0.0000 0.0000 0.0000
Ba 0.5000 0.5000 0.2910
CELL_PARAMETERS angstrom
-2.7807 -3.3306 2.5276
4.1054 -2.7500 0.8930
1.7339 5.6069 9.2956
! N(E_F)	6.94	states/eV/f.u.
! formation energy (no corrections)	-1.729	eV per atom
! calculated volume	30.8	Å³ per atom
! magnetic moment	4.9	μB per formula unit
! total energy	-6.57	eV per atom



[6]
! ErTm7, relaxed, DFT PBE; values from VASP
&SYSTEM
  ibrav = 0, nat = 8, ntyp = 2
/
ATOMIC_SPECIES
Tm 168.93 Tm.upf
Er 167.26 Er.upf
ATOMIC_POSITIONS crystal
Tm 0.0000 0.5000 0.5000
Tm 0.6332 0.5969 0.1368
Tm 0.3668 0.4031 0.8632
Tm 0.7398 0.7597 0.7597
Er 0.0000 0.0000 0.0000
Tm 0.3668 0.8632 0.4031
Tm 0.2602 0.2403 0.2403
Tm 0.6332 0.1368 0.5969
CELL_PARAMETERS angstrom
-1.2625 3.2201 0.3577
-8.2694 -1.1576 -1.8604
-3.3912 -0.3235 7.8472
! distance to the lowest polymorph of the same formula	10	meV per atom
! N(E_F)	13.10	states/eV/f.u.
! calculated volume	30.1	Å³ per atom
! magnetic moment	0.0	μB per formula unit
! total energy	-4.44	eV per atom